LaBeMo | SCAN | PBEsol geometry

abc: 6.1437 6.1437 6.1437
angles: 90.00 90.00 90.00
Space group F-43m (No. 216)
One atom of each set of equivalent atoms:
La 0.0000 0.0000 0.0000 (multiplicity 4)
Be 0.2500 0.2500 0.7500 (multiplicity 4)
Mo 0.0000 0.0000 0.5000 (multiplicity 4)

## Properties
Energy relative to the elements   0.89 eV per atom
DOS at the Fermi energy   13.1 states/eV/cell
Energy above the lowest structure with this stoichiometry   0.000 eV per atom

***

LaBeMo2 | SCAN | PBEsol geometry

abc: 2.8390 2.8390 29.0525
angles: 90.00 90.00 120.00
Space group R-3m (No. 166, hexagonal axes)
One atom of each set of equivalent atoms:
La 0.0000 0.0000 0.0000 (multiplicity 3)
Be 0.0000 0.0000 0.5000 (multiplicity 3)
Mo 0.0000 0.0000 0.2346 (multiplicity 6)

## Properties
Energy relative to the elements   0.83 eV per atom
DOS at the Fermi energy   12.4 states/eV/cell

***

no.,volume (Å³ per cell)
1,231.9
2,202.8